# Nb3Re2W2

A relaxed structure of Nb3Re2W2 (PBE-GGA, Alexandria via LeMat-Bulk).

Its volume is 16.59 Å³/atom. The energy of formation from the pure elements comes out at -0.120 eV per atom. The calculation puts the total magnetic moment at 0.0 μB/f.u.

abc: 10.1722 3.2051 7.2018
angles: 90.00 98.35 90.00
Space group C2/m (No. 12)
Asymmetric unit:
Nb: 0.0000 0.0000 0.0000 [2 per cell]
Nb: 0.1417 0.0000 0.4270 [4 per cell]
Re: 0.2179 0.5000 0.1409 [4 per cell]
W: 0.0734 0.5000 0.7176 [4 per cell]